Below is an optimized crystal structure of La12NdEr3, with properties calculated at the PBE-GGA level.

## Properties
crystal system: tetragonal
D(E_F): 1.410 states/eV/atom
E_form: 0.01 eV per atom
density: 6.79 g/cm³

a b c (Å): 5.208 5.208 20.840
angles (deg): 90.00 90.00 90.00
Sites, in units of the cell vectors:
1 La 0.000 0.000 0.000
2 La 0.000 0.000 0.249
3 La 0.000 0.000 0.500
4 La 0.000 0.000 0.751
5 La 0.000 0.500 0.124
6 La 0.000 0.500 0.373
7 La 0.000 0.500 0.627
8 La 0.000 0.500 0.876
9 La 0.500 0.000 0.124
10 La 0.500 0.000 0.373
11 La 0.500 0.000 0.627
12 La 0.500 0.000 0.876
13 Nd 0.500 0.500 0.500
14 Er 0.500 0.500 0.000
15 Er 0.500 0.500 0.249
16 Er 0.500 0.500 0.751